# 1
CuMo2Au, single point on PBEsol structure, DFT meta-GGA SCAN; raw total energy = -38.310 eV per atom; energy of formation = 0.2218 eV/atom
1.0
4.543 -1.312 0.000
4.543 1.312 0.000
-0.591 0.000 4.960
Cu Mo Au
1 2 1
Direct
0.000 0.000 0.000
0.256 0.256 0.749
0.496 0.496 0.509
0.749 0.749 0.233



# 2
CuMo2Au, single point on PBEsol structure, DFT meta-GGA SCAN; raw total energy = -38.303 eV per atom; energy of formation = 0.2288 eV/atom
1.0
2.590 -4.278 0.000
2.590 4.278 0.000
0.000 0.000 2.647
Cu Mo Au
1 2 1
Direct
0.000 0.000 0.000
0.000 0.500 0.500
0.500 0.000 0.500
0.500 0.500 0.000



# 3
CuMo2Au, single point on PBEsol structure, DFT meta-GGA SCAN; raw total energy = -38.361 eV per atom; energy of formation = 0.1704 eV/atom
1.0
3.681 0.000 0.000
0.000 3.681 0.000
0.000 0.000 4.302
Cu Mo Au
1 2 1
Direct
0.000 0.000 0.000
0.000 0.500 0.500
0.500 0.000 0.500
0.500 0.500 0.000



# 4
CuMo2Au, single point on PBEsol structure, DFT meta-GGA SCAN; raw total energy = -38.338 eV per atom; energy of formation = 0.1937 eV/atom
1.0
2.660 0.000 0.000
0.000 4.188 0.000
-0.101 0.000 5.258
Cu Mo Au
1 2 1
Direct
0.000 0.000 0.000
0.491 0.500 0.230
0.509 0.500 0.770
0.000 0.000 0.500



# 5
Cu2MoPAu, single point on PBEsol structure, DFT meta-GGA SCAN; raw total energy = -27.767 eV per atom; energy of formation = 1.2012 eV/atom
1.0
4.628 0.000 0.000
0.000 4.628 0.000
0.000 0.000 4.473
Cu Mo P Au
2 1 1 1
Direct
0.000 0.500 0.000
0.500 0.000 0.000
0.000 0.000 0.000
0.000 0.000 0.500
0.500 0.500 0.500



# 6
CuAuNO2, single point on PBEsol structure, DFT meta-GGA SCAN; ΔE_f (raw) = 1214 meV per atom; raw total energy = -20.008 eV per atom
1.0
4.126 0.000 0.000
0.000 4.126 0.000
0.000 0.000 3.678
Cu Au N O
1 1 1 2
Direct
0.000 0.000 0.000
0.500 0.500 0.500
0.500 0.500 0.000
0.000 0.500 0.500
0.500 0.000 0.500



# 7
Cu2PdAuN, single point on PBEsol structure, DFT meta-GGA SCAN; ΔE_f (raw) = 1863 meV per atom; raw total energy = -26.461 eV per atom
1.0
4.606 0.000 0.000
0.000 4.606 0.000
0.000 0.000 4.946
Cu Pd Au N
2 1 1 1
Direct
0.000 0.500 0.000
0.500 0.000 0.000
0.000 0.000 0.000
0.000 0.000 0.500
0.500 0.500 0.500



# 8
CuTe2AuN, single point on PBEsol structure, DFT meta-GGA SCAN; ΔE_f (raw) = 1122 meV per atom; raw total energy = -32.508 eV per atom
1.0
5.597 0.000 0.000
0.000 5.597 0.000
0.000 0.000 3.642
Cu Te Au N
1 2 1 1
Direct
0.000 0.000 0.000
0.000 0.500 0.500
0.500 0.000 0.500
0.500 0.500 0.500
0.500 0.500 0.000



# 9
NaCuAu3, single point on PBEsol structure, DFT meta-GGA SCAN; raw total energy = -44.242 eV per atom; energy of formation = 1.1351 eV/atom
1.0
4.745 0.000 0.000
0.000 4.745 0.000
0.000 0.000 4.745
Na Cu Au
1 1 3
Direct
0.000 0.000 0.000
0.500 0.500 0.500
0.000 0.000 0.500
0.000 0.500 0.000
0.500 0.000 0.000



# 10
Nb2Cu2Au, single point on PBEsol structure, DFT meta-GGA SCAN; raw total energy = -32.866 eV per atom; energy of formation = 0.2968 eV/atom
1.0
-1.578 1.578 8.012
1.578 -1.578 8.012
1.578 1.578 -8.012
Nb Cu Au
2 2 1
Direct
0.112 0.112 0.000
0.888 0.888 0.000
0.250 0.750 0.500
0.750 0.250 0.500
0.500 0.500 0.000



# 11
CuNi2Au, single point on PBEsol structure, DFT meta-GGA SCAN; raw total energy = -29.130 eV per atom; energy of formation = 0.0453 eV/atom
1.0
-1.832 1.832 3.645
1.832 -1.832 3.645
1.832 1.832 -3.645
Cu Ni Au
1 2 1
Direct
0.000 0.000 0.000
0.250 0.750 0.500
0.500 0.500 0.000
0.750 0.250 0.500



# 12
CuNiAu2, single point on PBEsol structure, DFT meta-GGA SCAN; raw total energy = -42.398 eV per atom; energy of formation = 0.0236 eV/atom
1.0
4.618 -1.397 0.000
4.618 1.397 0.000
-1.277 0.000 4.301
Cu Ni Au
1 1 2
Direct
0.000 0.000 0.000
0.276 0.276 0.716
0.527 0.527 0.523
0.754 0.754 0.199



# 13
Cu2NiAu, single point on PBEsol structure, DFT meta-GGA SCAN; raw total energy = -28.905 eV per atom; energy of formation = 0.0275 eV/atom
1.0
4.268 -1.346 0.000
4.268 1.346 0.000
-0.912 0.000 4.370
Cu Ni Au
2 1 1
Direct
0.244 0.244 0.233
0.756 0.756 0.767
0.500 0.500 0.000
0.000 0.000 0.500



# 14
Cu2NiAu, single point on PBEsol structure, DFT meta-GGA SCAN; raw total energy = -28.898 eV per atom; energy of formation = 0.0337 eV/atom
1.0
2.679 0.000 0.000
0.000 3.485 0.000
0.000 0.000 5.357
Cu Ni Au
2 1 1
Direct
0.000 0.000 0.000
0.500 0.500 0.231
0.000 0.000 0.457
0.500 0.500 0.726



# 15
CuNi2Au, single point on PBEsol structure, DFT meta-GGA SCAN; raw total energy = -29.125 eV per atom; energy of formation = 0.0509 eV/atom
1.0
3.659 0.000 0.000
0.000 3.659 0.000
0.000 0.000 3.651
Cu Ni Au
1 2 1
Direct
0.000 0.000 0.000
0.000 0.500 0.500
0.500 0.000 0.500
0.500 0.500 0.000



# 16
CuNiAu, single point on PBEsol structure, DFT meta-GGA SCAN; raw total energy = -33.082 eV per atom; energy of formation = 0.4282 eV/atom
1.0
0.000 2.870 2.870
2.870 0.000 2.870
2.870 2.870 0.000
Cu Ni Au
1 1 1
Direct
0.000 0.000 0.000
0.500 0.500 0.500
0.750 0.750 0.750



# 17
CuNi2Au, single point on PBEsol structure, DFT meta-GGA SCAN; raw total energy = -29.106 eV per atom; energy of formation = 0.0698 eV/atom
1.0
2.703 0.000 0.000
0.000 2.703 0.000
0.000 0.000 6.737
Cu Ni Au
1 2 1
Direct
0.000 0.000 0.000
0.000 0.000 0.441
0.500 0.500 0.229
0.500 0.500 0.719



# 18
CuNiAu, single point on PBEsol structure, DFT meta-GGA SCAN; raw total energy = -33.459 eV per atom; energy of formation = 0.0513 eV/atom
1.0
-1.356 1.761 4.045
1.356 -1.761 4.045
1.356 1.761 -4.045
Cu Ni Au
1 1 1
Direct
0.000 0.000 0.000
0.350 0.350 0.000
0.676 0.676 0.000



# 19
Cu2NiAu, single point on PBEsol structure, DFT meta-GGA SCAN; raw total energy = -28.914 eV per atom; energy of formation = 0.0183 eV/atom
1.0
2.717 0.000 0.000
0.000 3.380 0.000
0.000 0.000 5.434
Cu Ni Au
2 1 1
Direct
0.000 0.000 0.224
0.000 0.000 0.776
0.500 0.500 0.000
0.500 0.500 0.500



# 20
Cu2NiAu, single point on PBEsol structure, DFT meta-GGA SCAN; raw total energy = -28.880 eV per atom; energy of formation = 0.0523 eV/atom
1.0
4.269 -1.345 0.000
4.269 1.345 0.000
-0.900 0.000 4.375
Cu Ni Au
2 1 1
Direct
0.000 0.000 0.000
0.748 0.748 0.237
0.256 0.256 0.766
0.503 0.503 0.504



# 21
CuNiAu, single point on PBEsol structure, DFT meta-GGA SCAN; raw total energy = -33.438 eV per atom; energy of formation = 0.0718 eV/atom
1.0
-1.379 1.379 5.075
1.379 -1.379 5.075
1.379 1.379 -5.075
Cu Ni Au
1 1 1
Direct
0.000 0.000 0.000
0.644 0.644 0.000
0.320 0.320 0.000



# 22
CuNi2Au, single point on PBEsol structure, DFT meta-GGA SCAN; raw total energy = -29.122 eV per atom; energy of formation = 0.0536 eV/atom
1.0
2.677 0.000 0.000
0.000 3.399 0.000
0.000 0.000 5.401
Cu Ni Au
1 2 1
Direct
0.000 0.000 0.000
0.000 0.000 0.554
0.500 0.500 0.767
0.500 0.500 0.275



# 23
CuNiAu2, single point on PBEsol structure, DFT meta-GGA SCAN; raw total energy = -42.424 eV per atom; energy of formation = -0.0028 eV/atom
1.0
2.842 -3.443 0.000
2.842 3.443 0.000
0.000 0.000 2.834
Cu Ni Au
1 1 2
Direct
0.000 0.000 0.000
0.500 0.500 0.000
0.000 0.500 0.500
0.500 0.000 0.500



# 24
Cu2NiAu, single point on PBEsol structure, DFT meta-GGA SCAN; raw total energy = -28.869 eV per atom; energy of formation = 0.0637 eV/atom
1.0
2.638 -3.515 0.000
2.638 3.515 0.000
0.000 0.000 2.718
Cu Ni Au
2 1 1
Direct
0.000 0.500 0.000
0.500 0.000 0.000
0.000 0.000 0.500
0.500 0.500 0.500



# 25
CuNiAu2, single point on PBEsol structure, DFT meta-GGA SCAN; raw total energy = -42.388 eV per atom; energy of formation = 0.0340 eV/atom
1.0
-1.882 1.882 3.941
1.882 -1.882 3.941
1.882 1.882 -3.941
Cu Ni Au
1 1 2
Direct
0.000 0.000 0.000
0.750 0.250 0.500
0.250 0.750 0.500
0.500 0.500 0.000



# 26
Cu2NiAu, single point on PBEsol structure, DFT meta-GGA SCAN; raw total energy = -28.924 eV per atom; energy of formation = 0.0083 eV/atom
1.0
-1.855 1.855 3.629
1.855 -1.855 3.629
1.855 1.855 -3.629
Cu Ni Au
2 1 1
Direct
0.000 0.000 0.000
0.750 0.250 0.500
0.500 0.500 0.000
0.250 0.750 0.500



# 27
CuNiAu2, single point on PBEsol structure, DFT meta-GGA SCAN; raw total energy = -42.376 eV per atom; energy of formation = 0.0452 eV/atom
1.0
2.879 0.000 0.000
0.000 2.879 0.000
0.000 0.000 6.686
Cu Ni Au
1 1 2
Direct
0.000 0.000 0.000
0.500 0.500 0.197
0.000 0.000 0.442
0.500 0.500 0.750



# 28
CuNiAu2, single point on PBEsol structure, DFT meta-GGA SCAN; raw total energy = -42.375 eV per atom; energy of formation = 0.0468 eV/atom
1.0
-1.445 2.177 4.407
1.445 -2.177 4.407
1.445 2.177 -4.407
Cu Ni Au
1 1 2
Direct
0.000 0.000 0.000
0.225 0.725 0.500
0.473 0.473 0.000
0.747 0.247 0.500



# 29
Cu2NiAu, single point on PBEsol structure, DFT meta-GGA SCAN; raw total energy = -28.885 eV per atom; energy of formation = 0.0468 eV/atom
1.0
4.409 0.000 0.000
0.000 2.715 0.000
-1.329 0.000 4.208
Cu Ni Au
2 1 1
Direct
0.000 0.000 0.000
0.500 0.500 0.000
0.000 0.500 0.500
0.500 0.000 0.500



# 30
Cu2NiAu, single point on PBEsol structure, DFT meta-GGA SCAN; raw total energy = -28.938 eV per atom; energy of formation = -0.0057 eV/atom
1.0
-1.859 1.859 3.607
1.859 -1.859 3.607
1.859 1.859 -3.607
Cu Ni Au
2 1 1
Direct
0.250 0.750 0.500
0.750 0.250 0.500
0.000 0.000 0.000
0.500 0.500 0.000



# 31
Cu2NiAu, single point on PBEsol structure, DFT meta-GGA SCAN; raw total energy = -28.881 eV per atom; energy of formation = 0.0512 eV/atom
1.0
2.787 0.000 0.000
0.000 2.787 0.000
0.000 0.000 6.406
Cu Ni Au
2 1 1
Direct
0.000 0.000 0.000
0.500 0.500 0.227
0.000 0.000 0.445
0.500 0.500 0.719